NaInHg2Ir: optimized geometry, GGA-PBE.

a b c (Å): 5.3349 5.3349 5.1112
angles (deg): 90.00 90.00 90.00
Last column: nearest neighbours and their distance in Å.
Fractional coordinates of all 5 atoms:
Na 0.0000 0.0000 0.0000  8 Hg 3.69, 4 In 3.77
In 0.5000 0.5000 0.0000  2 Ir 2.56
Hg 0.0000 0.5000 0.5000  2 Ir 2.67
Hg 0.5000 0.0000 0.5000  2 Ir 2.67
Ir 0.5000 0.5000 0.5000  2 In 2.56, 4 Hg 2.67

Computed properties:
**Magnetization**: 0.0 μB per cell
**Calculated total energy**: -2.708 eV/atom
**DFT formation energy**: -3.4 meV per atom



NaIn2HgIr: optimized geometry, GGA-PBE.

a b c (Å): 5.1507 5.1507 5.3912
angles (deg): 90.00 90.00 90.00
Last column: nearest neighbours and their distance in Å.
Fractional coordinates of all 5 atoms:
Na 0.0000 0.0000 0.0000  4 Hg 3.64, 8 In 3.73
In 0.0000 0.5000 0.5000  2 Ir 2.58
In 0.5000 0.0000 0.5000  2 Ir 2.58
Hg 0.5000 0.5000 0.0000  2 Ir 2.70
Ir 0.5000 0.5000 0.5000  4 In 2.58, 2 Hg 2.70

Computed properties:
**Magnetization**: 0.0 μB per cell
**Calculated total energy**: -3.266 eV/atom
**DFT formation energy**: -74.3 meV per atom



Nd5In2HgIr2: optimized geometry, GGA-PBE.

a b c (Å): 12.1328 12.1328 3.8338
angles (deg): 90.00 90.00 90.00
Last column: nearest neighbours and their distance in Å.
Fractional coordinates of all 20 atoms:
Nd 0.0000 0.5000 0.0000  4 Ir 2.98
Nd 0.0740 0.2062 0.0000  2 Ir 2.83
Nd 0.2062 0.9260 0.0000  2 Ir 2.83
Nd 0.2938 0.4260 0.0000  2 Ir 2.83
Nd 0.4260 0.7062 0.0000  2 Ir 2.83
Nd 0.5000 0.0000 0.0000  4 Ir 2.98
Nd 0.5740 0.2938 0.0000  2 Ir 2.83
Nd 0.7062 0.5740 0.0000  2 Ir 2.83
Nd 0.7938 0.0740 0.0000  2 Ir 2.83
Nd 0.9260 0.7938 0.0000  2 Ir 2.83
In 0.1780 0.6780 0.5000  1 Ir 3.24, 6 Nd 3.58-3.61
In 0.3220 0.1780 0.5000  1 Ir 3.24, 6 Nd 3.58-3.61
In 0.6780 0.8220 0.5000  1 Ir 3.24, 6 Nd 3.58-3.61
In 0.8220 0.3220 0.5000  1 Ir 3.24, 6 Nd 3.58-3.61
Hg 0.0000 0.0000 0.5000  8 Nd 3.28
Hg 0.5000 0.5000 0.5000  8 Nd 3.28
Ir 0.1330 0.3670 0.5000  6 Nd 2.83-2.98
Ir 0.3670 0.8670 0.5000  6 Nd 2.83-2.98
Ir 0.6330 0.1330 0.5000  6 Nd 2.83-2.98
Ir 0.8670 0.6330 0.5000  6 Nd 2.83-2.98

Computed properties:
**Magnetization**: 0.0 μB per cell
**Calculated total energy**: -5.238 eV/atom
**DFT formation energy**: -504.0 meV per atom



> Number 1 is which compound?

NaInHg2Ir



> magnetization of number 1 (NaInHg2Ir)?

0.0 μB per cell